An optimized crystal structure of La6PrTl. Source: Alexandria via LeMat-Bulk, functional PBE.

abc: 6.039 6.039 7.563
angles: 90.00 90.00 90.00
Atoms (fractional coordinates):
1 La 0.500 0.500 0.500
2 La 0.500 0.000 0.224
3 Tl 0.000 0.000 0.000
4 La 0.000 0.500 0.776
5 La 0.000 0.500 0.224
6 La 0.500 0.500 0.000
7 Pr 0.000 0.000 0.500
8 La 0.500 0.000 0.776

electronic total energy	-4.628	eV/atom
formation energy	-0.04	eV/atom
space-group type	P4/mmm, No. 123
spin magnetization	0.0	μB per cell
density of states at the Fermi level	10.2	states/eV per cell
energy relative to the lowest polymorph listed for this composition	54.5	meV/atom